A plane-wave DFT calculation with PBE was carried out for a relaxed SrMgSnPt crystal.

abc: 4.998 4.998 4.998
angles: 60.00 60.00 60.00
Sites, in units of the cell vectors:
1 Pt 0.000 0.000 0.000
2 Sr 0.500 0.500 0.500
3 Mg 0.750 0.750 0.750
4 Sn 0.250 0.250 0.250

Computed properties:
For the total energy, the calculation gives -3.74 eV per atom. The value obtained for the total magnetization is 0.00 μB/f.u. For the energy relative to the lowest polymorph listed for this composition, the calculation gives 0.000 eV per atom. The space-group type is F-43m (216). The crystal system is cubic. As for the theoretical density: 8.01 Mg/m³.